Below is crystalline CoOsW2 at its relaxed geometry, with properties calculated at the PBE-GGA level.

The structure in POSCAR format:
```
CoOsW2
1.0
5.488 0.000 0.000
0.000 7.571 0.000
0.000 0.000 2.774
Co Os W
2 2 4
Direct
0.000 0.000 0.000
0.500 0.500 0.000
0.000 0.500 0.000
0.500 0.000 0.000
0.250 0.250 0.500
0.250 0.750 0.500
0.750 0.250 0.500
0.750 0.750 0.500
```

## Properties
The density of states at the Fermi level is 8.617 states/eV per cell. Its mass density is 17.78 g/cm3. The crystal system is orthorhombic. Its spin magnetization is 0.0 μB/f.u. For the final energy, the calculation gives -10.976 eV/atom. The space group is Cmmm, No. 65.